# MgAuCl (PBE, relaxed)
# ΔE_f (raw) (eV/atom): -0.808
# Total energy (eV per atom): -3.05
# Polymorph energy (0 for the lowest one) (meV/atom): 90
data_MgAuCl
_chemical_formula_sum 'Mg4 Au4 Cl4'
_symmetry_space_group_name_H-M 'A m m 2'
_symmetry_Int_Tables_number 38
_cell_length_a 14.203
_cell_length_b 3.440
_cell_length_c 5.903
_cell_angle_alpha 90.00
_cell_angle_beta 90.00
_cell_angle_gamma 90.00
loop_
_symmetry_equiv_pos_as_xyz
'x,y,z'
'-x,-y,z'
'-x,y,z'
'x,-y,z'
'x,y+1/2,z+1/2'
'-x,-y+1/2,z+1/2'
'-x,y+1/2,z+1/2'
'x,-y+1/2,z+1/2'
loop_
_atom_site_label
_atom_site_fract_x
_atom_site_fract_y
_atom_site_fract_z
Mg1 0.000 0.000 0.000
Mg2 0.500 0.000 0.217
Au1 0.130 0.000 0.335
Cl1 0.390 0.000 0.883


# MgAuCl6 (PBE, relaxed)
# ΔE_f (raw) (eV/atom): -0.739
# Total energy (eV per atom): -2.73
# Polymorph energy (0 for the lowest one) (meV/atom): 0
data_MgAuCl6
_chemical_formula_sum 'Mg2 Au2 Cl12'
_symmetry_space_group_name_H-M 'C 1 2/m 1'
_symmetry_Int_Tables_number 12
_cell_length_a 6.399
_cell_length_b 11.539
_cell_length_c 7.171
_cell_angle_alpha 90.00
_cell_angle_beta 113.92
_cell_angle_gamma 90.00
loop_
_symmetry_equiv_pos_as_xyz
'x,y,z'
'-x,-y,-z'
'-x,y,-z'
'x,-y,z'
'x+1/2,y+1/2,z'
'-x+1/2,-y+1/2,-z'
'-x+1/2,y+1/2,-z'
'x+1/2,-y+1/2,z'
loop_
_atom_site_label
_atom_site_fract_x
_atom_site_fract_y
_atom_site_fract_z
Mg1 0.000 0.000 0.000
Au1 0.000 0.000 0.500
Cl1 0.027 0.142 0.281
Cl2 0.076 0.500 0.855


# MgAuCl6 (PBE, relaxed)
# ΔE_f (raw) (eV/atom): -0.692
# Total energy (eV per atom): -2.69
# Polymorph energy (0 for the lowest one) (meV/atom): 47
data_MgAuCl6
_chemical_formula_sum 'Mg1 Au1 Cl6'
_symmetry_space_group_name_H-M 'P -1'
_symmetry_Int_Tables_number 2
_cell_length_a 5.883
_cell_length_b 6.401
_cell_length_c 6.589
_cell_angle_alpha 107.66
_cell_angle_beta 91.29
_cell_angle_gamma 110.31
loop_
_symmetry_equiv_pos_as_xyz
'x,y,z'
'-x,-y,-z'
loop_
_atom_site_label
_atom_site_fract_x
_atom_site_fract_y
_atom_site_fract_z
Mg1 0.000 0.000 0.000
Au1 0.500 0.000 0.500
Cl1 0.037 0.412 0.149
Cl2 0.277 0.168 0.742
Cl3 0.402 0.176 0.266


# MgAuCl (PBE, relaxed)
# ΔE_f (raw) (eV/atom): -0.898
# Total energy (eV per atom): -3.14
# Polymorph energy (0 for the lowest one) (meV/atom): 0
data_MgAuCl
_chemical_formula_sum 'Mg1 Au1 Cl1'
_symmetry_space_group_name_H-M 'P 3 m 1'
_symmetry_Int_Tables_number 156
_cell_length_a 3.5664
_cell_length_b 3.5664
_cell_length_c 6.3353
_cell_angle_alpha 90.00
_cell_angle_beta 90.00
_cell_angle_gamma 120.00
loop_
_symmetry_equiv_pos_as_xyz
'x,y,z'
'-y,x-y,z'
'-x+y,-x,z'
'-y,-x,z'
'-x+y,y,z'
'x,x-y,z'
loop_
_atom_site_label
_atom_site_fract_x
_atom_site_fract_y
_atom_site_fract_z
Mg1 0.0000 0.0000 0.0000
Au1 0.6667 0.3333 0.2756
Cl1 0.3333 0.6667 0.7695


# Mg2AuCl2 (PBE, relaxed)
# ΔE_f (raw) (eV/atom): -0.578
# Total energy (eV per atom): -2.61
data_Mg2AuCl2
_chemical_formula_sum 'Mg4 Au2 Cl4'
_symmetry_space_group_name_H-M 'I 4/m m m'
_symmetry_Int_Tables_number 139
_symmetry_space_group_name_Hall '-I 4 2'
_cell_length_a 4.850
_cell_length_b 4.850
_cell_length_c 9.617
_cell_angle_alpha 90.00
_cell_angle_beta 90.00
_cell_angle_gamma 90.00
loop_
_atom_site_label
_atom_site_fract_x
_atom_site_fract_y
_atom_site_fract_z
Mg1 0.000 0.500 0.250
Au1 0.000 0.000 0.000
Cl1 0.000 0.000 0.342


# MgAuCl (PBE, relaxed)
# ΔE_f (raw) (eV/atom): -0.547
# Total energy (eV per atom): -2.79
# Polymorph energy (0 for the lowest one) (meV/atom): 351
data_MgAuCl
_chemical_formula_sum 'Mg4 Au4 Cl4'
_symmetry_space_group_name_H-M 'F -4 3 m'
_symmetry_Int_Tables_number 216
_symmetry_space_group_name_Hall 'F -4 2 3'
_cell_length_a 6.534
_cell_length_b 6.534
_cell_length_c 6.534
_cell_angle_alpha 90.00
_cell_angle_beta 90.00
_cell_angle_gamma 90.00
loop_
_atom_site_label
_atom_site_fract_x
_atom_site_fract_y
_atom_site_fract_z
Mg1 0.000 0.000 0.000
Au1 0.250 0.250 0.250
Cl1 0.250 0.250 0.750


# MgAuCl (PBE, relaxed)
# ΔE_f (raw) (eV/atom): -0.763
# Total energy (eV per atom): -3.00
# Polymorph energy (0 for the lowest one) (meV/atom): 136
data_MgAuCl
_chemical_formula_sum 'Mg4 Au4 Cl4'
_symmetry_space_group_name_H-M 'F m m 2'
_symmetry_Int_Tables_number 42
_symmetry_space_group_name_Hall 'F 2 -2'
_cell_length_a 4.307
_cell_length_b 4.618
_cell_length_c 13.357
_cell_angle_alpha 90.00
_cell_angle_beta 90.00
_cell_angle_gamma 90.00
loop_
_atom_site_label
_atom_site_fract_x
_atom_site_fract_y
_atom_site_fract_z
Mg1 0.000 0.000 0.000
Au1 0.000 0.000 0.631
Cl1 0.000 0.000 0.390


# MgP2AuCl (PBE, relaxed)
# ΔE_f (raw) (eV/atom): 0.555
# Total energy (eV per atom): -2.95
# Polymorph energy (0 for the lowest one) (meV/atom): 0
data_MgP2AuCl
_chemical_formula_sum 'Mg1 P2 Au1 Cl1'
_symmetry_space_group_name_H-M 'P 4/m m m'
_symmetry_Int_Tables_number 123
_symmetry_space_group_name_Hall '-P 4 2'
_cell_length_a 4.706
_cell_length_b 4.706
_cell_length_c 5.800
_cell_angle_alpha 90.00
_cell_angle_beta 90.00
_cell_angle_gamma 90.00
loop_
_atom_site_label
_atom_site_fract_x
_atom_site_fract_y
_atom_site_fract_z
Mg1 0.000 0.000 0.000
P1 0.000 0.500 0.500
Au1 0.500 0.500 0.500
Cl1 0.500 0.500 0.000


Quick rundown of size of the total moment, same order as above: 0.00; 1.00; 0.98; 0.00; 0.00; 0.00; 0.00; 1.38 μB/f.u.